No. 1
Crystalline NdSc2Ge4 at its relaxed geometry. Source: Alexandria via LeMat-Bulk, functional PBE.

Its total energy is -5.836 eV per atom. The value obtained for the formation enthalpy at 0 K is -0.71 eV/atom.

CIF file:
```
data_NdSc2Ge4
_chemical_formula_sum 'Nd2 Sc4 Ge8'
_cell_length_a 3.946
_cell_length_b 4.146
_cell_length_c 17.842
_cell_angle_alpha 90.00
_cell_angle_beta 90.00
_cell_angle_gamma 90.00
_symmetry_space_group_name_H-M 'I m m m'
_symmetry_Int_Tables_number 71
_symmetry_space_group_name_Hall '-I 2 2'
loop_
_atom_site_label
_atom_site_type_symbol
_atom_site_fract_x
_atom_site_fract_y
_atom_site_fract_z
Nd1 Nd 0.000 0.000 0.000
Sc1 Sc 0.000 0.500 0.319
Ge1 Ge 0.000 0.000 0.429
Ge2 Ge 0.000 0.500 0.165
```

No. 2
Crystalline TlGeMo3 at its relaxed geometry. Source: Alexandria via LeMat-Bulk, functional PBE.

Its relative energy among the computed polymorphs is 0.00 eV per formula unit. Its total energy is -6.623 eV per atom. The value obtained for the formation enthalpy at 0 K is 1.27 eV/atom.

CIF file:
```
data_TlGeMo3
_chemical_formula_sum 'Tl1 Ge1 Mo3'
_cell_length_a 4.662
_cell_length_b 4.662
_cell_length_c 4.662
_cell_angle_alpha 90.00
_cell_angle_beta 90.00
_cell_angle_gamma 90.00
_symmetry_space_group_name_H-M 'P m -3 m'
_symmetry_Int_Tables_number 221
_symmetry_space_group_name_Hall '-P 4 2 3'
loop_
_atom_site_label
_atom_site_type_symbol
_atom_site_fract_x
_atom_site_fract_y
_atom_site_fract_z
Tl1 Tl 0.000 0.000 0.000
Ge1 Ge 0.500 0.500 0.500
Mo1 Mo 0.000 0.500 0.500
```

No. 3
Crystalline CoMo5 at its relaxed geometry. Source: Alexandria via LeMat-Bulk, functional PBE.

Its relative energy among the computed polymorphs is 1.18 eV per formula unit. Its total energy is -9.905 eV per atom. The value obtained for the formation enthalpy at 0 K is 0.31 eV/atom.

CIF file:
```
data_CoMo5
_chemical_formula_sum 'Co2 Mo10'
_cell_length_a 4.582
_cell_length_b 2.616
_cell_length_c 15.252
_cell_angle_alpha 90.00
_cell_angle_beta 90.00
_cell_angle_gamma 90.00
_symmetry_space_group_name_H-M 'A m m 2'
_symmetry_Int_Tables_number 38
loop_
_symmetry_equiv_pos_as_xyz
'x,y,z'
'-x,-y,z'
'-x,y,z'
'x,-y,z'
'x,y+1/2,z+1/2'
'-x,-y+1/2,z+1/2'
'-x,y+1/2,z+1/2'
'x,-y+1/2,z+1/2'
loop_
_atom_site_label
_atom_site_type_symbol
_atom_site_fract_x
_atom_site_fract_y
_atom_site_fract_z
Co1 Co 0.000 0.000 0.000
Mo1 Mo 0.000 0.000 0.347
Mo2 Mo 0.000 0.000 0.666
Mo3 Mo 0.500 0.000 0.104
Mo4 Mo 0.500 0.000 0.445
Mo5 Mo 0.500 0.000 0.773
```

No. 4
Crystalline Nd6Ho2Er3Mg at its relaxed geometry. Source: Alexandria via LeMat-Bulk, functional PBE.

Its total energy is -4.398 eV per atom. The value obtained for the formation enthalpy at 0 K is 0.02 eV/atom.

CIF file:
```
data_Nd6Ho2Er3Mg
_chemical_formula_sum 'Nd12 Ho4 Er6 Mg2'
_cell_length_a 6.219
_cell_length_b 10.778
_cell_length_c 11.746
_cell_angle_alpha 90.00
_cell_angle_beta 100.20
_cell_angle_gamma 90.00
_symmetry_space_group_name_H-M 'C 1 2/m 1'
_symmetry_Int_Tables_number 12
loop_
_symmetry_equiv_pos_as_xyz
'x,y,z'
'-x,-y,-z'
'-x,y,-z'
'x,-y,z'
'x+1/2,y+1/2,z'
'-x+1/2,-y+1/2,-z'
'-x+1/2,y+1/2,-z'
'x+1/2,-y+1/2,z'
loop_
_atom_site_label
_atom_site_type_symbol
_atom_site_fract_x
_atom_site_fract_y
_atom_site_fract_z
Nd1 Nd 0.249 0.166 0.249
Nd2 Nd 0.250 0.000 0.750
Ho1 Ho 0.000 0.333 0.000
Er1 Er 0.000 0.167 0.500
Er2 Er 0.000 0.500 0.500
Mg1 Mg 0.000 0.000 0.000
```

No. 5
Crystalline Ac8Pt3Br4N at its relaxed geometry. Source: Alexandria via LeMat-Bulk, functional PBE.

For the uncorrected formation energy, the calculation gives -1.25 eV per atom. Its total energy is -5.378 eV per atom.

CIF file:
```
data_Ac8Pt3Br4N
_chemical_formula_sum 'Ac16 Pt6 Br8 N2'
_cell_length_a 15.112
_cell_length_b 8.598
_cell_length_c 9.710
_cell_angle_alpha 90.00
_cell_angle_beta 122.19
_cell_angle_gamma 90.00
_symmetry_space_group_name_H-M 'C 1 2/m 1'
_symmetry_Int_Tables_number 12
loop_
_symmetry_equiv_pos_as_xyz
'x,y,z'
'-x,-y,-z'
'-x,y,-z'
'x,-y,z'
'x+1/2,y+1/2,z'
'-x+1/2,-y+1/2,-z'
'-x+1/2,y+1/2,-z'
'x+1/2,-y+1/2,z'
loop_
_atom_site_label
_atom_site_type_symbol
_atom_site_fract_x
_atom_site_fract_y
_atom_site_fract_z
Ac1 Ac 0.012 0.225 0.314
Ac2 Ac 0.233 0.500 0.696
Ac3 Ac 0.237 0.000 0.705
Pt1 Pt 0.000 0.500 0.500
Pt2 Pt 0.250 0.250 0.500
Br1 Br 0.000 0.000 0.000
Br2 Br 0.000 0.500 0.000
Br3 Br 0.250 0.250 0.000
N1 N 0.000 0.000 0.500
```

No. 6
Crystalline Al4Sn at its relaxed geometry. Source: Alexandria via LeMat-Bulk, functional PBE.

Its total energy is -2.851 eV per atom. The value obtained for the formation enthalpy at 0 K is 0.94 eV/atom.

CIF file:
```
data_Al4Sn
_chemical_formula_sum 'Al4 Sn1'
_cell_length_a 5.267
_cell_length_b 5.267
_cell_length_c 5.267
_cell_angle_alpha 90.00
_cell_angle_beta 90.00
_cell_angle_gamma 90.00
_symmetry_space_group_name_H-M 'P m -3 m'
_symmetry_Int_Tables_number 221
_symmetry_space_group_name_Hall '-P 4 2 3'
loop_
_atom_site_label
_atom_site_type_symbol
_atom_site_fract_x
_atom_site_fract_y
_atom_site_fract_z
Al1 Al 0.000 0.000 0.000
Al2 Al 0.000 0.500 0.500
Sn1 Sn 0.500 0.500 0.500
```